Entry 1:
A relaxed BaCrIr2 crystal, computed with GGA-PBE.

```
data_BaCrIr2
_chemical_formula_sum 'Ba2 Cr2 Ir4'
_cell_length_a 2.9773
_cell_length_b 5.3147
_cell_length_c 10.5652
_cell_angle_alpha 90.00
_cell_angle_beta 90.00
_cell_angle_gamma 90.00
_symmetry_space_group_name_H-M 'I m m 2'
_symmetry_Int_Tables_number 44
loop_
_symmetry_equiv_pos_as_xyz
'x,y,z'
'-x,-y,z'
'-x,y,z'
'x,-y,z'
'x+1/2,y+1/2,z+1/2'
'-x+1/2,-y+1/2,z+1/2'
'-x+1/2,y+1/2,z+1/2'
'x+1/2,-y+1/2,z+1/2'
loop_
_atom_site_label
_atom_site_fract_x
_atom_site_fract_y
_atom_site_fract_z
Ba1 0.0000 0.0000 0.0000
Cr1 0.0000 0.5000 0.7979
Ir1 0.0000 0.0000 0.5076
Ir2 0.0000 0.5000 0.2153
```

Properties
- E (eV/atom) = -6.651
- E_form (kJ/mol of formula units) = 257
- total magnetization (μB/atom) = 0.7756
- polymorph energy (0 for the lowest one) (meV/atom) = 602



Entry 2:
A relaxed BaCrIr2 crystal, computed with GGA-PBE.

```
data_BaCrIr2
_chemical_formula_sum 'Ba1 Cr1 Ir2'
_cell_length_a 3.1114
_cell_length_b 4.9806
_cell_length_c 5.0402
_cell_angle_alpha 90.00
_cell_angle_beta 90.00
_cell_angle_gamma 90.00
_symmetry_space_group_name_H-M 'P m m m'
_symmetry_Int_Tables_number 47
loop_
_symmetry_equiv_pos_as_xyz
'x,y,z'
'-x,-y,-z'
'-x,-y,z'
'x,y,-z'
'x,-y,-z'
'-x,y,z'
'-x,y,-z'
'x,-y,z'
loop_
_atom_site_label
_atom_site_fract_x
_atom_site_fract_y
_atom_site_fract_z
Ba1 0.0000 0.0000 0.0000
Cr1 0.5000 0.0000 0.5000
Ir1 0.0000 0.5000 0.5000
Ir2 0.5000 0.5000 0.0000
```

Properties
- E (eV/atom) = -6.403
- E_form (kJ/mol of formula units) = 353
- total magnetization (μB/atom) = 1.0687
- polymorph energy (0 for the lowest one) (meV/atom) = 851